{"formula": "RuAuOF2", "functional": "GGA-PBEsol", "state": "optimized geometry", "lattice": [[-1.451, 2.076, 2.634], [2.422, -1.924, 2.850], [3.006, 2.877, -0.612]], "species": ["F", "Au", "Ru", "O", "F"], "frac_coords": [[0.000, 0.000, 0.500], [0.500, 0.500, 0.500], [0.000, 0.000, 0.000], [0.500, 0.000, 0.000], [0.000, 0.500, 0.000]], "sg": "P4/mmm", "crystal_system": "tetragonal", "raw_formation_energy_mev_per_atom": -527}

{"formula": "RuAuO2F", "functional": "GGA-PBEsol", "state": "optimized geometry", "lattice": [[-0.603, -1.027, 3.542], [0.122, -3.592, -1.021], [4.344, -0.058, 0.722]], "species": ["O", "O", "Au", "F", "Ru"], "frac_coords": [[0.500, 0.000, 0.000], [0.000, 0.500, 0.000], [0.500, 0.500, 0.500], [0.000, 0.000, 0.500], [0.000, 0.000, 0.000]], "sg": "P4/mmm", "crystal_system": "tetragonal", "raw_formation_energy_mev_per_atom": -378}

{"formula": "AuSOF2", "functional": "GGA-PBEsol", "state": "optimized geometry", "lattice": [[3.979, 0.000, 0.000], [0.000, 4.292, 0.000], [0.000, 0.000, 4.292]], "species": ["F", "S", "O", "F", "Au"], "frac_coords": [[0.000, 0.500, 0.000], [0.500, 0.500, 0.500], [0.500, 0.000, 0.000], [0.000, 0.000, 0.500], [0.000, 0.000, 0.000]], "sg": "P4/mmm", "crystal_system": "tetragonal", "raw_formation_energy_mev_per_atom": 196}

{"formula": "SbAuOF2", "functional": "GGA-PBEsol", "state": "optimized geometry", "lattice": [[4.146, 0.000, 0.000], [0.000, 4.358, 0.000], [0.000, 0.000, 4.358]], "species": ["Sb", "O", "Au", "F", "F"], "frac_coords": [[0.000, 0.000, 0.000], [0.500, 0.000, 0.000], [0.500, 0.500, 0.500], [0.000, 0.500, 0.000], [0.000, 0.000, 0.500]], "sg": "P4/mmm", "crystal_system": "tetragonal", "raw_formation_energy_mev_per_atom": -870}

{"formula": "SiAuOF2", "functional": "GGA-PBEsol", "state": "optimized geometry", "lattice": [[-0.774, -3.040, -1.123], [0.987, -1.622, 3.710], [-3.932, 0.529, 1.277]], "species": ["Au", "F", "Si", "F", "O"], "frac_coords": [[0.500, 0.500, 0.500], [0.000, 0.500, 0.000], [0.000, 0.000, 0.000], [0.000, 0.000, 0.500], [0.500, 0.000, 0.000]], "sg": "P4/mmm", "crystal_system": "tetragonal", "raw_formation_energy_mev_per_atom": -1183}

{"formula": "SiAuOF2", "functional": "GGA-PBEsol", "state": "optimized geometry", "lattice": [[-0.256, -0.323, -4.040], [2.853, -3.214, 0.076], [-3.204, -2.833, 0.430]], "species": ["Au", "O", "F", "F", "Si"], "frac_coords": [[0.000, 0.000, 0.000], [0.500, 0.000, 0.000], [0.000, 0.500, 0.000], [0.000, 0.000, 0.500], [0.500, 0.500, 0.500]], "sg": "P4/mmm", "crystal_system": "tetragonal", "raw_formation_energy_mev_per_atom": -115}

{"formula": "TcAuOF2", "functional": "GGA-PBEsol", "state": "optimized geometry", "lattice": [[4.041, 0.000, 0.000], [0.000, 4.333, 0.000], [0.000, 0.000, 4.333]], "species": ["F", "Au", "F", "O", "Tc"], "frac_coords": [[0.000, 0.000, 0.500], [0.000, 0.000, 0.000], [0.000, 0.500, 0.000], [0.500, 0.000, 0.000], [0.500, 0.500, 0.500]], "sg": "P4/mmm", "crystal_system": "tetragonal", "raw_formation_energy_mev_per_atom": 302}

{"formula": "TcAuO2F", "functional": "GGA-PBEsol", "state": "optimized geometry", "lattice": [[4.062, 0.000, 0.000], [0.000, 4.062, 0.000], [0.000, 0.000, 4.201]], "species": ["O", "Au", "F", "Tc", "O"], "frac_coords": [[0.500, 0.000, 0.000], [0.000, 0.000, 0.000], [0.000, 0.000, 0.500], [0.500, 0.500, 0.500], [0.000, 0.500, 0.000]], "sg": "P4/mmm", "crystal_system": "tetragonal", "raw_formation_energy_mev_per_atom": 509}